(w)
Here is a geometry-optimized K2TlRe structure from Alexandria. Energies are from PBE.

Cell lengths 3.794, 3.794, 10.177 Å; angles 90.00, 90.00, 90.00 degrees
Atoms (fractional coordinates):
K  0.000  0.000  0.000
K  0.500  0.500  0.407
Tl  0.500  0.500  0.730
Re  0.000  0.000  0.674


(x)
Here is a geometry-optimized K2TlRe structure from Alexandria. Energies are from PBE.

Cell lengths 5.745, 5.745, 5.745 Å; angles 60.00, 60.00, 60.00 degrees
Atoms (fractional coordinates):
K  0.250  0.250  0.250
K  0.750  0.750  0.750
Tl  0.000  0.000  0.000
Re  0.500  0.500  0.500


Q: What are the energies relative to the best structure? A: (w) 0; (x) 447, in meV per atom.